(1)
# Mn4AgOs

Mn4AgOs after structural relaxation (PBE-GGA, the Alexandria database).

## Properties
* raw total energy: -8.14 eV/atom
* D(E_F): 6.64 states/eV/f.u.
* energy of formation: 0.324 eV per atom

Unit cell a=6.710 b=6.710 c=6.710 alpha=90.00 beta=90.00 gamma=90.00
Space group F-43m (No. 216)
Symmetry-distinct sites (fractional):
1 Mn 0.124 0.124 0.376 (multiplicity 16)
2 Ag 0.250 0.250 0.750 (multiplicity 4)
3 Os 0.000 0.000 0.000 (multiplicity 4)

=====

(2)
# Al2Ga4Bi

Al2Ga4Bi after structural relaxation (PBE-GGA, the Alexandria database).

## Properties
* raw total energy: -3.27 eV/atom
* D(E_F): 1.93 states/eV/f.u.
* energy of formation: 0.080 eV per atom

Unit cell a=9.351 b=6.440 c=5.231 alpha=90.00 beta=113.36 gamma=90.00
Space group C2/m (No. 12)
Symmetry-distinct sites (fractional):
1 Al 0.035 0.000 0.273 (multiplicity 4)
2 Ga 0.198 0.282 0.711 (multiplicity 8)
3 Bi 0.000 0.500 0.000 (multiplicity 2)

=====

(3)
# CsNbCdB2

CsNbCdB2 after structural relaxation (PBE-GGA, the Alexandria database).

## Properties
* raw total energy: -3.48 eV/atom
* D(E_F): 3.53 states/eV/f.u.
* energy of formation: 1.560 eV per atom

Unit cell a=4.543 b=4.543 c=6.147 alpha=90.00 beta=90.00 gamma=90.00
Space group P4/mmm (No. 123)
Symmetry-distinct sites (fractional):
1 Cs 0.000 0.000 0.000 (multiplicity 1)
2 Nb 0.000 0.000 0.500 (multiplicity 1)
3 Cd 0.500 0.500 0.000 (multiplicity 1)
4 B 0.000 0.500 0.500 (multiplicity 2)

=====

(4)
# Cu7AgAu12

Cu7AgAu12 after structural relaxation (PBE-GGA, the Alexandria database).

## Properties
* raw total energy: -3.53 eV/atom
* D(E_F): 6.14 states/eV/f.u.
* energy of formation: 0.016 eV per atom

Unit cell a=11.8377 b=11.8377 c=8.1535 alpha=90.00 beta=90.00 gamma=120.00
Space group R-3 (No. 148, hexagonal axes)
Symmetry-distinct sites (fractional):
1 Cu 0.0000 0.0000 0.0000 (multiplicity 3)
2 Cu 0.0644 0.2474 0.4130 (multiplicity 18)
3 Ag 0.0000 0.0000 0.5000 (multiplicity 3)
4 Au 0.0493 0.2089 0.7337 (multiplicity 18)
5 Au 0.0560 0.2450 0.0849 (multiplicity 18)

=====

(5)
# Hg6Sb2ICl2

Hg6Sb2ICl2 after structural relaxation (PBE-GGA, the Alexandria database).

## Properties
* raw total energy: -1.56 eV/atom
* D(E_F): 1.18 states/eV/f.u.

Unit cell a=7.318 b=8.625 c=9.134 alpha=114.67 beta=106.44 gamma=98.37
Space group P-1 (No. 2)
Symmetry-distinct sites (fractional):
1 Hg 0.130 0.207 0.162 (multiplicity 2)
2 Hg 0.139 0.661 0.619 (multiplicity 2)
3 Hg 0.310 0.237 0.867 (multiplicity 2)
4 Sb 0.471 0.968 0.820 (multiplicity 2)
5 I 0.500 0.000 0.500 (multiplicity 1)
6 Cl 0.211 0.501 0.894 (multiplicity 2)

=====

(6)
# GdHoFeCu

GdHoFeCu after structural relaxation (PBE-GGA, the Alexandria database).

## Properties
* raw total energy: -7.82 eV/atom
* D(E_F): 6.70 states/eV/f.u.
* energy of formation: -0.015 eV per atom

Unit cell a=6.840 b=6.840 c=6.840 alpha=90.00 beta=90.00 gamma=90.00
Space group F-43m (No. 216)
Symmetry-distinct sites (fractional):
1 Gd 0.000 0.000 0.000 (multiplicity 4)
2 Ho 0.000 0.000 0.500 (multiplicity 4)
3 Fe 0.250 0.250 0.250 (multiplicity 4)
4 Cu 0.250 0.250 0.750 (multiplicity 4)

=====

(7)
# TlCr2Co

TlCr2Co after structural relaxation (PBE-GGA, the Alexandria database).

## Properties
* raw total energy: -6.64 eV/atom
* D(E_F): 3.94 states/eV/f.u.
* energy of formation: 0.536 eV per atom
* polymorph energy (0 for the lowest one): 0.064 eV/atom

Unit cell a=2.995 b=3.491 c=5.657 alpha=90.00 beta=90.00 gamma=90.00
Space group Pmmm (No. 47)
Symmetry-distinct sites (fractional):
1 Tl 0.000 0.000 0.000 (multiplicity 1)
2 Cr 0.500 0.500 0.323 (multiplicity 2)
3 Co 0.000 0.000 0.500 (multiplicity 1)

=====

(8)
# K2MgPO4

K2MgPO4 after structural relaxation (PBE-GGA, the Alexandria database).

## Properties
* raw total energy: -5.62 eV/atom
* D(E_F): 0.45 states/eV/f.u.

Unit cell a=5.785 b=5.785 c=8.096 alpha=90.00 beta=90.00 gamma=90.00
Space group I-4 (No. 82)
Symmetry-distinct sites (fractional):
1 K 0.000 0.000 0.000 (multiplicity 2)
2 K 0.000 0.500 0.250 (multiplicity 2)
3 Mg 0.000 0.500 0.750 (multiplicity 2)
4 P 0.000 0.000 0.500 (multiplicity 2)
5 O 0.068 0.788 0.612 (multiplicity 8)

=====

(9)
# KScTiCl6

KScTiCl6 after structural relaxation (PBE-GGA, the Alexandria database).

## Properties
* raw total energy: -4.79 eV/atom
* D(E_F): 9.63 states/eV/f.u.

Unit cell a=6.4437 b=6.4437 c=14.4575 alpha=90.00 beta=90.00 gamma=120.00
Space group P-31c (No. 163)
Symmetry-distinct sites (fractional):
1 K 0.0000 0.0000 0.0000 (multiplicity 2)
2 Sc 0.3333 0.6667 0.2500 (multiplicity 2)
3 Ti 0.3333 0.6667 0.7500 (multiplicity 2)
4 Cl 0.0017 0.3631 0.6495 (multiplicity 12)

=====

(10)
# Ca3Ce2NdP6

Ca3Ce2NdP6 after structural relaxation (PBE-GGA, the Alexandria database).

## Properties
* raw total energy: -5.85 eV/atom
* D(E_F): 12.44 states/eV/f.u.
* energy of formation: -1.255 eV per atom

Unit cell a=7.208 b=12.492 c=7.070 alpha=90.00 beta=109.91 gamma=90.00
Space group C2/m (No. 12)
Symmetry-distinct sites (fractional):
1 Ca 0.000 0.000 0.000 (multiplicity 2)
2 Ca 0.000 0.335 0.000 (multiplicity 4)
3 Ce 0.000 0.167 0.500 (multiplicity 4)
4 Nd 0.000 0.500 0.500 (multiplicity 2)
5 P 0.238 0.000 0.736 (multiplicity 4)
6 P 0.249 0.329 0.736 (multiplicity 8)

=====

(11)
# ZnSiPd2

ZnSiPd2 after structural relaxation (PBE-GGA, the Alexandria database).

## Properties
* raw total energy: -4.71 eV/atom
* D(E_F): 0.83 states/eV/f.u.

Unit cell a=7.021 b=7.281 c=4.836 alpha=90.00 beta=106.31 gamma=90.00
Space group C2/c (No. 15)
Symmetry-distinct sites (fractional):
1 Zn 0.000 0.189 0.250 (multiplicity 4)
2 Si 0.000 0.413 0.750 (multiplicity 4)
3 Pd 0.211 0.105 0.813 (multiplicity 8)

=====

(12)
# NaZr2W

NaZr2W after structural relaxation (PBE-GGA, the Alexandria database).

## Properties
* raw total energy: -6.60 eV/atom
* D(E_F): 4.64 states/eV/f.u.
* energy of formation: 1.243 eV per atom
* polymorph energy (0 for the lowest one): 0.748 eV/atom

Unit cell a=4.254 b=4.254 c=19.577 alpha=90.00 beta=90.00 gamma=90.00
Space group I-42d (No. 122)
Symmetry-distinct sites (fractional):
1 Na 0.000 0.000 0.000 (multiplicity 4)
2 Zr 0.229 0.250 0.625 (multiplicity 8)
3 W 0.000 0.000 0.500 (multiplicity 4)

=====

Repeat the seventh record exactly.
# TlCr2Co

TlCr2Co after structural relaxation (PBE-GGA, the Alexandria database).

## Properties
* raw total energy: -6.64 eV/atom
* D(E_F): 3.94 states/eV/f.u.
* energy of formation: 0.536 eV per atom
* polymorph energy (0 for the lowest one): 0.064 eV/atom

Unit cell a=2.995 b=3.491 c=5.657 alpha=90.00 beta=90.00 gamma=90.00
Space group Pmmm (No. 47)
Symmetry-distinct sites (fractional):
1 Tl 0.000 0.000 0.000 (multiplicity 1)
2 Cr 0.500 0.500 0.323 (multiplicity 2)
3 Co 0.000 0.000 0.500 (multiplicity 1)

=====

> Number 3 is which compound?

CsNbCdB2

=====

> Look up the raw total energy of the eleventh one.

-4.71 eV/atom